[1]
Density functional theory data (PBE) for GaAs3Se after structural relaxation.

CIF file:
```
data_GaAs3Se
_cell_length_a 5.0697
_cell_length_b 5.0697
_cell_length_c 5.0697
_cell_angle_alpha 90.00
_cell_angle_beta 90.00
_cell_angle_gamma 90.00
_space_group_name_H-M_alt 'P m -3 m'
_space_group_IT_number 221
_space_group_name_Hall '-P 4 2 3'
loop_
_atom_site_label
_atom_site_type_symbol
_atom_site_fract_x
_atom_site_fract_y
_atom_site_fract_z
Ga1 Ga 0.0000 0.0000 0.0000
As1 As 0.0000 0.5000 0.5000
Se1 Se 0.5000 0.5000 0.5000
```

## Properties
For the distance to the lowest polymorph of the same formula, the calculation gives 0.000 eV per atom. The formation energy from raw total energies comes out at 787 meV/atom.

***

[2]
Density functional theory data (PBE) for ZrSi2Tc after structural relaxation.

CIF file:
```
data_ZrSi2Tc
_cell_length_a 3.0632
_cell_length_b 3.0632
_cell_length_c 24.4208
_cell_angle_alpha 90.00
_cell_angle_beta 90.00
_cell_angle_gamma 120.00
_space_group_name_H-M_alt 'R 3 m'
_space_group_IT_number 160
_space_group_name_Hall 'R 3 -2"'
loop_
_atom_site_label
_atom_site_type_symbol
_atom_site_fract_x
_atom_site_fract_y
_atom_site_fract_z
Zr1 Zr 0.0000 0.0000 0.0000
Si1 Si 0.0000 0.0000 0.5054
Si2 Si 0.0000 0.0000 0.7583
Tc1 Tc 0.0000 0.0000 0.2438
```

## Properties
For the distance to the lowest polymorph of the same formula, the calculation gives 0.530 eV per atom. The formation energy from raw total energies comes out at 3 meV/atom.

***

[3]
Density functional theory data (PBE) for Sc2InPb after structural relaxation.

CIF file:
```
data_Sc2InPb
_cell_length_a 4.2818
_cell_length_b 4.3105
_cell_length_c 10.3485
_cell_angle_alpha 90.00
_cell_angle_beta 90.00
_cell_angle_gamma 90.00
_space_group_name_H-M_alt 'I m m 2'
_space_group_IT_number 44
_space_group_name_Hall 'I 2 -2'
loop_
_atom_site_label
_atom_site_type_symbol
_atom_site_fract_x
_atom_site_fract_y
_atom_site_fract_z
Sc1 Sc 0.0000 0.0000 0.0000
Sc2 Sc 0.0000 0.5000 0.2498
In1 In 0.0000 0.5000 0.7501
Pb1 Pb 0.0000 0.0000 0.4996
```

## Properties
Its formation energy is -385.8 meV/atom.

***

[4]
Density functional theory data (PBE) for CaSc4Te6 after structural relaxation.

CIF file:
```
data_CaSc4Te6
_cell_length_a 4.1756
_cell_length_b 13.7410
_cell_length_c 21.6476
_cell_angle_alpha 90.00
_cell_angle_beta 90.00
_cell_angle_gamma 90.00
_space_group_name_H-M_alt 'C m c m'
_space_group_IT_number 63
_space_group_name_Hall '-C 2c 2'
loop_
_atom_site_label
_atom_site_type_symbol
_atom_site_fract_x
_atom_site_fract_y
_atom_site_fract_z
Ca1 Ca 0.0000 0.1570 0.2500
Sc1 Sc 0.0000 0.0904 0.6265
Sc2 Sc 0.0000 0.3583 0.5371
Te1 Te 0.0000 0.0000 0.0000
Te2 Te 0.0000 0.1728 0.7500
Te3 Te 0.0000 0.2697 0.0875
Te4 Te 0.0000 0.4520 0.6591
```

## Properties
The formation energy from raw total energies comes out at -1257 meV/atom.

***

[5]
Density functional theory data (PBE) for MgTi7H16 after structural relaxation.

CIF file:
```
data_MgTi7H16
_cell_length_a 8.8487
_cell_length_b 8.8487
_cell_length_c 8.8487
_cell_angle_alpha 90.00
_cell_angle_beta 90.00
_cell_angle_gamma 90.00
_space_group_name_H-M_alt 'F m -3 m'
_space_group_IT_number 225
_space_group_name_Hall '-F 4 2 3'
loop_
_atom_site_label
_atom_site_type_symbol
_atom_site_fract_x
_atom_site_fract_y
_atom_site_fract_z
Mg1 Mg 0.0000 0.0000 0.0000
Ti1 Ti 0.0000 0.0000 0.5000
Ti2 Ti 0.0000 0.2500 0.2500
H1 H 0.1245 0.1245 0.3755
H2 H 0.1285 0.1285 0.1285
```

***

[6]
Density functional theory data (PBE) for ZnPbW2 after structural relaxation.

CIF file:
```
data_ZnPbW2
_cell_length_a 3.2272
_cell_length_b 4.7200
_cell_length_c 9.2683
_cell_angle_alpha 90.00
_cell_angle_beta 90.00
_cell_angle_gamma 90.00
_space_group_name_H-M_alt 'I m m m'
_space_group_IT_number 71
_space_group_name_Hall '-I 2 2'
loop_
_atom_site_label
_atom_site_type_symbol
_atom_site_fract_x
_atom_site_fract_y
_atom_site_fract_z
Zn1 Zn 0.0000 0.0000 0.0000
Pb1 Pb 0.0000 0.0000 0.5000
W1 W 0.0000 0.5000 0.2574
```

## Properties
Its formation energy is 789.6 meV/atom. For the distance to the lowest polymorph of the same formula, the calculation gives 0.282 eV per atom.

***

Final energy for every record listed, in sequence, given in eV per atom: -3.30, -7.44, -5.16, -5.45, -5.06, -6.93.